# 1
# K2Rb2CoO4

A relaxed structure of K2Rb2CoO4 (PBE with a Hubbard U, Alexandria via LeMat-Bulk).

Geometry as CIF:
```
data_K2Rb2CoO4
_symmetry_space_group_name_H-M 'I 4/m m m'
_symmetry_Int_Tables_number 139
_symmetry_space_group_name_Hall '-I 4 2'
_cell_length_a 6.276
_cell_length_b 6.276
_cell_length_c 8.234
_cell_angle_alpha 90.00
_cell_angle_beta 90.00
_cell_angle_gamma 90.00
loop_
_atom_site_label
_atom_site_type_symbol
_atom_site_fract_x
_atom_site_fract_y
_atom_site_fract_z
_atom_site_occupancy
K1 K 0.000 0.000 0.164 1
Rb1 Rb 0.000 0.500 0.250 1
Co1 Co 0.000 0.000 0.500 1
O1 O 0.205 0.205 0.500 1
```

---

# 2
# K2CoRe3O12

A relaxed structure of K2CoRe3O12 (PBE with a Hubbard U, Alexandria via LeMat-Bulk).

Geometry as CIF:
```
data_K2CoRe3O12
_symmetry_space_group_name_H-M 'R -3 m'
_symmetry_Int_Tables_number 166
_symmetry_space_group_name_Hall '-R 3 2"'
_cell_length_a 7.2812
_cell_length_b 7.2812
_cell_length_c 17.1474
_cell_angle_alpha 90.00
_cell_angle_beta 90.00
_cell_angle_gamma 120.00
loop_
_atom_site_label
_atom_site_type_symbol
_atom_site_fract_x
_atom_site_fract_y
_atom_site_fract_z
_atom_site_occupancy
K1 K 0.0000 0.0000 0.1342 1
Co1 Co 0.0000 0.0000 0.5000 1
Re1 Re 0.0000 0.5000 0.0000 1
O1 O 0.0821 0.5411 0.3595 1
O2 O 0.0886 0.5443 0.1018 1
```

---

# 3
# KCoRe2O8

A relaxed structure of KCoRe2O8 (PBE with a Hubbard U, Alexandria via LeMat-Bulk).

Geometry as CIF:
```
data_KCoRe2O8
_symmetry_space_group_name_H-M 'C 1 2/m 1'
_symmetry_Int_Tables_number 12
_cell_length_a 9.327
_cell_length_b 5.971
_cell_length_c 7.752
_cell_angle_alpha 90.00
_cell_angle_beta 92.83
_cell_angle_gamma 90.00
loop_
_symmetry_equiv_pos_as_xyz
'x,y,z'
'-x,-y,-z'
'-x,y,-z'
'x,-y,z'
'x+1/2,y+1/2,z'
'-x+1/2,-y+1/2,-z'
'-x+1/2,y+1/2,-z'
'x+1/2,-y+1/2,z'
loop_
_atom_site_label
_atom_site_type_symbol
_atom_site_fract_x
_atom_site_fract_y
_atom_site_fract_z
_atom_site_occupancy
K1 K 0.000 0.000 0.000 1
Co1 Co 0.000 0.000 0.500 1
Re1 Re 0.141 0.500 0.277 1
O1 O 0.038 0.255 0.311 1
O2 O 0.196 0.500 0.064 1
O3 O 0.207 0.000 0.579 1
```

---

# 4
# KCoRhO6

A relaxed structure of KCoRhO6 (PBE with a Hubbard U, Alexandria via LeMat-Bulk).

Geometry as CIF:
```
data_KCoRhO6
_symmetry_space_group_name_H-M 'P 3 1 2'
_symmetry_Int_Tables_number 149
_cell_length_a 5.0888
_cell_length_b 5.0888
_cell_length_c 5.9616
_cell_angle_alpha 90.00
_cell_angle_beta 90.00
_cell_angle_gamma 120.00
loop_
_symmetry_equiv_pos_as_xyz
'x,y,z'
'-y,x-y,z'
'-x+y,-x,z'
'-y,-x,-z'
'-x+y,y,-z'
'x,x-y,-z'
loop_
_atom_site_label
_atom_site_type_symbol
_atom_site_fract_x
_atom_site_fract_y
_atom_site_fract_z
_atom_site_occupancy
K1 K 0.0000 0.0000 0.0000 1
Co1 Co 0.6667 0.3333 0.5000 1
Rh1 Rh 0.3333 0.6667 0.5000 1
O1 O 0.4032 0.0120 0.6792 1
```

---

# 5
# K3CoRh2O6

A relaxed structure of K3CoRh2O6 (PBE with a Hubbard U, Alexandria via LeMat-Bulk).

Geometry as CIF:
```
data_K3CoRh2O6
_symmetry_space_group_name_H-M 'C 1 2/m 1'
_symmetry_Int_Tables_number 12
_cell_length_a 5.563
_cell_length_b 9.677
_cell_length_c 6.131
_cell_angle_alpha 90.00
_cell_angle_beta 107.64
_cell_angle_gamma 90.00
loop_
_symmetry_equiv_pos_as_xyz
'x,y,z'
'-x,-y,-z'
'-x,y,-z'
'x,-y,z'
'x+1/2,y+1/2,z'
'-x+1/2,-y+1/2,-z'
'-x+1/2,y+1/2,-z'
'x+1/2,-y+1/2,z'
loop_
_atom_site_label
_atom_site_type_symbol
_atom_site_fract_x
_atom_site_fract_y
_atom_site_fract_z
_atom_site_occupancy
K1 K 0.000 0.000 0.000 1
K2 K 0.000 0.335 0.000 1
Co1 Co 0.000 0.500 0.500 1
Rh1 Rh 0.000 0.167 0.500 1
O1 O 0.217 0.000 0.671 1
O2 O 0.228 0.328 0.672 1
```

---

# 6
# K2CoRh2O6

A relaxed structure of K2CoRh2O6 (PBE with a Hubbard U, Alexandria via LeMat-Bulk).

Geometry as CIF:
```
data_K2CoRh2O6
_symmetry_space_group_name_H-M 'C 1 2/m 1'
_symmetry_Int_Tables_number 12
_cell_length_a 5.412
_cell_length_b 8.910
_cell_length_c 6.321
_cell_angle_alpha 90.00
_cell_angle_beta 105.03
_cell_angle_gamma 90.00
loop_
_symmetry_equiv_pos_as_xyz
'x,y,z'
'-x,-y,-z'
'-x,y,-z'
'x,-y,z'
'x+1/2,y+1/2,z'
'-x+1/2,-y+1/2,-z'
'-x+1/2,y+1/2,-z'
'x+1/2,-y+1/2,z'
loop_
_atom_site_label
_atom_site_type_symbol
_atom_site_fract_x
_atom_site_fract_y
_atom_site_fract_z
_atom_site_occupancy
K1 K 0.000 0.175 0.000 1
Co1 Co 0.000 0.000 0.500 1
Rh1 Rh 0.000 0.340 0.500 1
O1 O 0.211 0.163 0.660 1
O2 O 0.246 0.500 0.674 1
```

---

| no. | VASP energy (eV per atom) |
| --- | --- |
| 1 | -4.2033 |
| 2 | -7.3188 |
| 3 | -7.4982 |
| 4 | -5.4675 |
| 5 | -5.4738 |
| 6 | -5.7646 |